Entry 1:
A relaxed structure of Na2Pa2TcN6, computed with PBE.

For the total energy, the calculation gives -0.300 hartree per atom. The value obtained for the raw formation energy is -745 kJ/mol of formula units. Its crystal system is monoclinic.

The structure belongs to space group C2/m (No. 12); the cell edges are 5.8750, 10.0555 and 5.9872 Å and the angles 90.00°, 104.89° and 90.00°. The asymmetric unit holds Na at (0.0000, 0.1498, 0.0000), Pa at (0.0000, 0.3352, 0.5000), Tc at (0.0000, 0.0000, 0.5000), N at (0.2011, 0.1597, 0.6773) and N at (0.2500, 0.0000, 0.3196).

Entry 2:
A relaxed structure of Pr2Zn4Si3Au, computed with PBE.

For the total energy, the calculation gives -0.142 hartree per atom. The value obtained for the raw formation energy is -426 kJ/mol of formula units. Its crystal system is tetragonal.

The structure belongs to space group P-4m2 (No. 115); the cell edges are 4.1965, 4.1965 and 10.6781 Å and the angles 90.00°, 90.00° and 90.00°. The asymmetric unit holds Pr at (0.0000, 0.5000, 0.2466), Zn at (0.0000, 0.0000, 0.0000), Zn at (0.0000, 0.5000, 0.6387), Zn at (0.5000, 0.5000, 0.0000), Si at (0.0000, 0.5000, 0.8640), Si at (0.5000, 0.5000, 0.5000) and Au at (0.0000, 0.0000, 0.5000).

What did the first record say?
A relaxed structure of Na2Pa2TcN6, computed with PBE.

For the total energy, the calculation gives -0.300 hartree per atom. The value obtained for the raw formation energy is -745 kJ/mol of formula units. Its crystal system is monoclinic.

The structure belongs to space group C2/m (No. 12); the cell edges are 5.8750, 10.0555 and 5.9872 Å and the angles 90.00°, 104.89° and 90.00°. The asymmetric unit holds Na at (0.0000, 0.1498, 0.0000), Pa at (0.0000, 0.3352, 0.5000), Tc at (0.0000, 0.0000, 0.5000), N at (0.2011, 0.1597, 0.6773) and N at (0.2500, 0.0000, 0.3196).

The lowest raw formation energy belongs to which entry?
Na2Pa2TcN6

Number 1 is which compound?
Na2Pa2TcN6

Which value of raw formation energy does entry 1 give?
-745 kJ/mol of formula units